# 1
Here is a geometry-optimized MnAl2Tc2 structure from Alexandria via LeMat-Bulk. Energies are from PBE.

Unit cell a=6.682 b=6.682 c=3.255 alpha=90.00 beta=90.00 gamma=90.00
Fractional coordinates of all 10 atoms:
Mn 0.000 0.000 0.000
Mn 0.500 0.500 0.000
Al 0.133 0.367 0.000
Al 0.367 0.867 0.000
Al 0.633 0.133 0.000
Al 0.867 0.633 0.000
Tc 0.168 0.668 0.500
Tc 0.332 0.168 0.500
Tc 0.668 0.832 0.500
Tc 0.832 0.332 0.500

Values from the calculation:
As for the raw total energy: -7.587 eV per atom. As for the symmetry: P4/mbm (127). As for the energy relative to the lowest polymorph listed for this composition: 0 meV per atom. The formation energy comes out at -0.11 eV per atom. As for the crystal system: tetragonal.

---

# 2
Here is a geometry-optimized MnAl2Tc2 structure from Alexandria via LeMat-Bulk. Energies are from PBE.

Unit cell a=7.009 b=7.009 c=7.009 alpha=152.07 beta=152.07 gamma=39.91
Fractional coordinates of all 5 atoms:
Mn 0.000 0.000 0.000
Al 0.250 0.750 0.500
Al 0.750 0.250 0.500
Tc 0.400 0.400 0.000
Tc 0.600 0.600 0.000

Values from the calculation:
As for the raw total energy: -6.971 eV per atom. As for the symmetry: I4/mmm (139). As for the energy relative to the lowest polymorph listed for this composition: 616 meV per atom. The formation energy comes out at 0.51 eV per atom. As for the crystal system: tetragonal.

---

# 3
Here is a geometry-optimized Mn2AlTc structure from Alexandria via LeMat-Bulk. Energies are from PBE.

Unit cell a=2.920 b=2.920 c=5.862 alpha=90.00 beta=90.00 gamma=90.00
Fractional coordinates of all 4 atoms:
Mn 0.000 0.000 0.245
Mn 0.000 0.000 0.755
Al 0.500 0.500 0.500
Tc 0.500 0.500 0.000

Values from the calculation:
As for the raw total energy: -8.223 eV per atom. As for the symmetry: P4/mmm (123). The formation energy comes out at -0.11 eV per atom. As for the crystal system: tetragonal.

---

# 4
Here is a geometry-optimized Mn2AlTc structure from Alexandria via LeMat-Bulk. Energies are from PBE.

Unit cell a=5.514 b=5.514 c=5.514 alpha=151.90 beta=133.55 gamma=55.17
Fractional coordinates of all 4 atoms:
Mn 0.233 0.233 0.000
Mn 0.767 0.767 0.000
Al 0.500 0.500 0.000
Tc 0.000 0.000 0.000

Values from the calculation:
As for the raw total energy: -7.567 eV per atom. As for the symmetry: Immm (71). The formation energy comes out at 0.54 eV per atom. As for the crystal system: orthorhombic.

---

# 5
Here is a geometry-optimized ThMnAlTc structure from Alexandria via LeMat-Bulk. Energies are from PBE.

Unit cell a=4.660 b=4.660 c=4.660 alpha=60.00 beta=60.00 gamma=60.00
Fractional coordinates of all 4 atoms:
Th 0.000 0.000 0.000
Mn 0.750 0.750 0.750
Al 0.500 0.500 0.500
Tc 0.250 0.250 0.250

Values from the calculation:
As for the raw total energy: -7.777 eV per atom. As for the symmetry: F-43m (216). The formation energy comes out at -0.10 eV per atom. As for the crystal system: cubic.

---

# 6
Here is a geometry-optimized TiMnAlTc structure from Alexandria via LeMat-Bulk. Energies are from PBE.

Unit cell a=4.329 b=4.329 c=4.329 alpha=60.00 beta=60.00 gamma=60.00
Fractional coordinates of all 4 atoms:
Ti 0.000 0.000 0.000
Mn 0.750 0.750 0.750
Al 0.500 0.500 0.500
Tc 0.250 0.250 0.250

Values from the calculation:
As for the raw total energy: -8.175 eV per atom. As for the symmetry: F-43m (216). The formation energy comes out at -0.38 eV per atom. As for the crystal system: cubic.

---

# 7
Here is a geometry-optimized Ti5Mn2Al2Tc structure from Alexandria via LeMat-Bulk. Energies are from PBE.

Unit cell a=9.926 b=9.926 c=3.165 alpha=90.00 beta=90.00 gamma=90.00
Fractional coordinates of all 20 atoms:
Ti 0.000 0.500 0.000
Ti 0.072 0.199 0.000
Ti 0.199 0.928 0.000
Ti 0.301 0.428 0.000
Ti 0.428 0.699 0.000
Ti 0.500 0.000 0.000
Ti 0.572 0.301 0.000
Ti 0.699 0.572 0.000
Ti 0.801 0.072 0.000
Ti 0.928 0.801 0.000
Mn 0.127 0.373 0.500
Mn 0.373 0.873 0.500
Mn 0.627 0.127 0.500
Mn 0.873 0.627 0.500
Al 0.173 0.673 0.500
Al 0.327 0.173 0.500
Al 0.673 0.827 0.500
Al 0.827 0.327 0.500
Tc 0.000 0.000 0.500
Tc 0.500 0.500 0.500

Values from the calculation:
As for the raw total energy: -7.706 eV per atom. As for the symmetry: P4/mbm (127). The formation energy comes out at -0.14 eV per atom. As for the crystal system: tetragonal.

---

# 8
Here is a geometry-optimized UMnAlTc structure from Alexandria via LeMat-Bulk. Energies are from PBE.

Unit cell a=4.503 b=4.503 c=4.503 alpha=60.00 beta=60.00 gamma=60.00
Fractional coordinates of all 4 atoms:
U 0.000 0.000 0.000
Mn 0.250 0.250 0.250
Al 0.500 0.500 0.500
Tc 0.750 0.750 0.750

Values from the calculation:
As for the raw total energy: -8.758 eV per atom. As for the symmetry: F-43m (216). The formation energy comes out at -0.12 eV per atom. As for the crystal system: cubic.